1.
## VCICl2 (PBE-GGA)

Data for a relaxed VCICl2 crystal.

Formation energy (no corrections): 894 meV per atom
Total energy: -3.823 eV/atom
Size of the total moment: 1.63 μB per formula unit

Cell lengths 4.490, 5.853, 4.490 Å; angles 90.00, 90.00, 90.00 degrees
Last column: magnetic moment on the atom in μB.
Element x y z (fractional)
I  0.000  0.500  0.000  -0.12
C  0.500  0.500  0.500  0.86
Cl  0.000  0.000  0.500  0.01
Cl  0.500  0.000  0.000  0.01
V  0.000  0.000  0.000  -0.01

---

2.
## In3CCl (PBE-GGA)

Data for a relaxed In3CCl crystal.

Formation energy (no corrections): 547 meV per atom
Total energy: -3.310 eV/atom
Size of the total moment: 0.00 μB per formula unit

Cell lengths 4.964, 4.964, 4.964 Å; angles 90.00, 90.00, 90.00 degrees
Element x y z (fractional)
C  0.000  0.000  0.000
Cl  0.500  0.500  0.500
In  0.000  0.500  0.000
In  0.000  0.000  0.500
In  0.500  0.000  0.000

---

3.
## InP2CCl (PBE-GGA)

Data for a relaxed InP2CCl crystal.

Formation energy (no corrections): 2036 meV per atom
Total energy: -2.890 eV/atom
Size of the total moment: 0.51 μB per formula unit

Cell lengths 5.157, 5.157, 5.070 Å; angles 90.00, 90.00, 90.00 degrees
Last column: magnetic moment on the atom in μB.
Element x y z (fractional)
P  0.000  0.500  0.000  -0.50
P  0.500  0.000  0.000  -0.50
C  0.500  0.500  0.500  0.86
Cl  0.000  0.000  0.500  -0.07
In  0.000  0.000  0.000  0.01

---

4.
## InP2CCl (PBE-GGA)

Data for a relaxed InP2CCl crystal.

Formation energy (no corrections): 805 meV per atom
Total energy: -4.121 eV/atom
Size of the total moment: 0.00 μB per formula unit

Cell lengths 3.928, 3.928, 6.928 Å; angles 90.00, 90.00, 90.00 degrees
Element x y z (fractional)
P  0.000  0.500  0.000
P  0.500  0.000  0.000
C  0.000  0.000  0.000
Cl  0.000  0.000  0.500
In  0.500  0.500  0.500

---

5.
## InPbC2Cl (PBE-GGA)

Data for a relaxed InPbC2Cl crystal.

Formation energy (no corrections): 2373 meV per atom
Total energy: -2.975 eV/atom
Size of the total moment: 0.86 μB per formula unit

Cell lengths 4.443, 5.285, 4.443 Å; angles 90.00, 90.00, 90.00 degrees
Last column: magnetic moment on the atom in μB.
Element x y z (fractional)
Pb  0.500  0.500  0.500  -0.04
C  0.000  0.000  0.500  0.26
C  0.500  0.000  0.000  0.23
Cl  0.000  0.000  0.000  0.00
In  0.000  0.500  0.000  -0.01

---

6.
## Rb2InCCl6 (PBE-GGA)

Data for a relaxed Rb2InCCl6 crystal.

Formation energy (no corrections): -632 meV per atom
Total energy: -3.129 eV/atom
Size of the total moment: 0.00 μB per formula unit

Cell lengths 7.445, 7.445, 6.956 Å; angles 57.65, 57.65, 90.00 degrees
Element x y z (fractional)
C  0.500  0.500  0.000
Cl  0.270  0.270  0.461
Cl  0.730  0.730  0.539
Cl  0.253  0.253  0.000
Cl  0.747  0.747  0.000
Cl  0.747  0.253  0.000
Cl  0.253  0.747  0.000
Rb  0.750  0.250  0.500
Rb  0.250  0.750  0.500
In  0.000  0.000  0.000

---

7.
## Tl2InCCl (PBE-GGA)

Data for a relaxed Tl2InCCl crystal.

Formation energy (no corrections): 537 meV per atom
Total energy: -3.171 eV/atom
Size of the total moment: 0.00 μB per formula unit

Cell lengths 5.235, 4.794, 5.235 Å; angles 90.00, 90.00, 90.00 degrees
Element x y z (fractional)
Tl  0.000  0.000  0.500
Tl  0.500  0.000  0.000
Cl  0.500  0.500  0.500
C  0.000  0.000  0.000
In  0.000  0.500  0.000

---

8.
## IrC2Cl (PBE-GGA)

Data for a relaxed IrC2Cl crystal.

Formation energy (no corrections): 2849 meV per atom
Total energy: -4.440 eV/atom
Size of the total moment: 0.00 μB per formula unit

Cell lengths 3.970, 3.970, 3.970 Å; angles 60.00, 60.00, 60.00 degrees
Element x y z (fractional)
C  0.250  0.250  0.250
C  0.750  0.750  0.750
Ir  0.500  0.500  0.500
Cl  0.000  0.000  0.000

---

9.
## Ir3CCl (PBE-GGA)

Data for a relaxed Ir3CCl crystal.

Formation energy (no corrections): 1110 meV per atom
Total energy: -6.421 eV/atom
Size of the total moment: 0.00 μB per formula unit

Cell lengths 4.153, 4.153, 4.153 Å; angles 90.00, 90.00, 90.00 degrees
Element x y z (fractional)
C  0.000  0.000  0.000
Ir  0.000  0.500  0.000
Ir  0.000  0.000  0.500
Ir  0.500  0.000  0.000
Cl  0.500  0.500  0.500

---

10.
## IrC2Cl (PBE-GGA)

Data for a relaxed IrC2Cl crystal.

Formation energy (no corrections): 1393 meV per atom
Total energy: -5.895 eV/atom
Size of the total moment: 0.00 μB per formula unit

Cell lengths 5.420, 5.420, 5.993 Å; angles 63.12, 63.12, 90.00 degrees
Element x y z (fractional)
C  0.752  0.125  0.250
C  0.998  0.625  0.250
C  0.375  0.248  0.750
C  0.875  0.002  0.750
Ir  0.000  0.000  0.000
Ir  0.750  0.250  0.500
Cl  0.500  0.500  0.000
Cl  0.250  0.750  0.500

---

11.
## La8Ir3CCl4 (PBE-GGA)

Data for a relaxed La8Ir3CCl4 crystal.

Formation energy (no corrections): -1207 meV per atom
Total energy: -6.370 eV/atom
Size of the total moment: 0.00 μB per formula unit

Cell lengths 8.245, 8.951, 8.250 Å; angles 117.46, 119.98, 90.00 degrees
Element x y z (fractional)
La  0.225  0.696  0.972
La  0.225  0.697  0.450
La  0.263  0.290  0.526
La  0.747  0.696  0.972
La  0.253  0.304  0.028
La  0.737  0.710  0.474
La  0.775  0.303  0.550
La  0.775  0.304  0.028
Ir  0.500  0.500  0.000
Ir  0.500  0.500  0.500
Ir  0.000  0.500  0.500
C  0.000  0.500  0.000
Cl  0.500  0.000  0.000
Cl  0.500  0.000  0.500
Cl  0.000  0.000  0.000
Cl  0.000  0.000  0.500

---

12.
## La6Ir2CCl2 (PBE-GGA)

Data for a relaxed La6Ir2CCl2 crystal.

Formation energy (no corrections): -947 meV per atom
Total energy: -6.420 eV/atom
Size of the total moment: 0.00 μB per formula unit

Cell lengths 7.109, 7.109, 7.626 Å; angles 99.69, 99.69, 118.56 degrees
Element x y z (fractional)
La  0.745  0.745  0.702
La  0.070  0.378  0.708
La  0.255  0.255  0.298
La  0.378  0.070  0.708
La  0.930  0.622  0.292
La  0.622  0.930  0.292
Ir  0.329  0.671  0.500
Ir  0.671  0.329  0.500
C  0.000  0.000  0.500
Cl  0.834  0.166  0.000
Cl  0.166  0.834  0.000

---

13.
## Nd4IrCCl2 (PBE-GGA)

Data for a relaxed Nd4IrCCl2 crystal.

Formation energy (no corrections): -1006 meV per atom
Total energy: -6.112 eV/atom
Size of the total moment: 0.00 μB per formula unit

Cell lengths 3.925, 7.122, 7.548 Å; angles 106.90, 90.00, 90.00 degrees
Element x y z (fractional)
Nd  0.500  0.216  0.192
Nd  0.500  0.784  0.808
Nd  0.000  0.242  0.799
Nd  0.000  0.758  0.201
Ir  0.500  0.500  0.000
C  0.000  0.000  0.000
Cl  0.500  0.000  0.500
Cl  0.000  0.500  0.500

---

14.
## Nd8Ir3CCl4 (PBE-GGA)

Data for a relaxed Nd8Ir3CCl4 crystal.

Formation energy (no corrections): -1084 meV per atom
Total energy: -6.168 eV/atom
Size of the total moment: 0.00 μB per formula unit

Cell lengths 8.149, 8.815, 8.149 Å; angles 117.53, 120.00, 90.00 degrees
Element x y z (fractional)
Nd  0.223  0.695  0.971
Nd  0.223  0.695  0.446
Nd  0.263  0.290  0.527
Nd  0.748  0.695  0.971
Nd  0.252  0.305  0.029
Nd  0.737  0.710  0.473
Nd  0.777  0.305  0.554
Nd  0.777  0.305  0.029
Ir  0.500  0.500  0.000
Ir  0.500  0.500  0.500
Ir  0.000  0.500  0.500
C  0.000  0.500  0.000
Cl  0.500  0.000  0.000
Cl  0.500  0.000  0.500
Cl  0.000  0.000  0.000
Cl  0.000  0.000  0.500

---

15.
## PIrCCl2 (PBE-GGA)

Data for a relaxed PIrCCl2 crystal.

Formation energy (no corrections): 1726 meV per atom
Total energy: -3.712 eV/atom
Size of the total moment: 0.00 μB per formula unit

Cell lengths 4.159, 4.159, 4.142 Å; angles 90.00, 90.00, 90.00 degrees
Element x y z (fractional)
P  0.000  0.000  0.500
C  0.000  0.000  0.000
Ir  0.500  0.500  0.500
Cl  0.000  0.500  0.000
Cl  0.500  0.000  0.000

---

16.
## PIrCCl2 (PBE-GGA)

Data for a relaxed PIrCCl2 crystal.

Formation energy (no corrections): 1607 meV per atom
Total energy: -3.831 eV/atom
Size of the total moment: 1.43 μB per formula unit

Cell lengths 4.942, 4.942, 4.458 Å; angles 90.00, 90.00, 90.00 degrees
Last column: magnetic moment on the atom in μB.
Element x y z (fractional)
P  0.000  0.000  0.500  -0.13
C  0.500  0.500  0.500  0.85
Ir  0.000  0.000  0.000  0.01
Cl  0.000  0.500  0.000  0.00
Cl  0.500  0.000  0.000  0.00

---

17.
## Pm4IrCCl2 (PBE-GGA)

Data for a relaxed Pm4IrCCl2 crystal.

Formation energy (no corrections): -1022 meV per atom
Total energy: -6.120 eV/atom
Size of the total moment: 0.00 μB per formula unit

Cell lengths 3.897, 7.077, 7.489 Å; angles 106.95, 90.00, 90.00 degrees
Element x y z (fractional)
Pm  0.500  0.258  0.200
Pm  0.500  0.742  0.800
Pm  0.000  0.284  0.810
Pm  0.000  0.716  0.190
Ir  0.000  0.000  0.000
C  0.500  0.500  0.000
Cl  0.500  0.000  0.500
Cl  0.000  0.500  0.500

---

18.
## Pm8Ir3CCl3 (PBE-GGA)

Data for a relaxed Pm8Ir3CCl3 crystal.

Formation energy (no corrections): -926 meV per atom
Total energy: -6.216 eV/atom
Size of the total moment: 0.00 μB per formula unit

Cell lengths 8.158, 8.164, 8.656 Å; angles 118.17, 89.96, 119.99 degrees
Element x y z (fractional)
Pm  0.263  0.527  0.290
Pm  0.737  0.473  0.710
Pm  0.778  0.556  0.306
Pm  0.222  0.444  0.694
Pm  0.778  0.028  0.306
Pm  0.222  0.972  0.694
Pm  0.250  0.028  0.306
Pm  0.750  0.972  0.694
Ir  0.500  0.000  0.500
Ir  0.500  0.500  0.500
Ir  0.000  0.500  0.500
C  0.000  0.000  0.500
Cl  0.000  0.000  0.000
Cl  0.000  0.500  0.000
Cl  0.500  0.500  0.000

---

19.
## Pm8Ir3CCl4 (PBE-GGA)

Data for a relaxed Pm8Ir3CCl4 crystal.

Formation energy (no corrections): -1097 meV per atom
Total energy: -6.172 eV/atom
Size of the total moment: 0.00 μB per formula unit

Cell lengths 8.097, 8.754, 8.097 Å; angles 117.58, 120.00, 90.00 degrees
Element x y z (fractional)
Pm  0.223  0.694  0.971
Pm  0.223  0.694  0.446
Pm  0.263  0.290  0.527
Pm  0.748  0.694  0.971
Pm  0.252  0.306  0.029
Pm  0.737  0.710  0.473
Pm  0.777  0.306  0.554
Pm  0.777  0.306  0.029
Ir  0.500  0.500  0.000
Ir  0.500  0.500  0.500
Ir  0.000  0.500  0.500
C  0.000  0.500  0.000
Cl  0.500  0.000  0.000
Cl  0.500  0.000  0.500
Cl  0.000  0.000  0.000
Cl  0.000  0.000  0.500

---

20.
## Pr6Ir2CCl3 (PBE-GGA)

Data for a relaxed Pr6Ir2CCl3 crystal.

Formation energy (no corrections): -1056 meV per atom
Total energy: -6.153 eV/atom
Size of the total moment: 0.00 μB per formula unit

Cell lengths 7.088, 7.088, 7.789 Å; angles 98.46, 98.46, 120.02 degrees
Element x y z (fractional)
Pr  0.937  0.626  0.803
Pr  0.748  0.748  0.197
Pr  0.063  0.374  0.197
Pr  0.626  0.937  0.803
Pr  0.252  0.252  0.803
Pr  0.374  0.063  0.197
Ir  0.332  0.668  0.000
Ir  0.668  0.332  0.000
C  0.000  0.000  0.000
Cl  0.156  0.844  0.500
Cl  0.844  0.156  0.500
Cl  0.500  0.500  0.500

---

21.
## Pr4IrCCl2 (PBE-GGA)

Data for a relaxed Pr4IrCCl2 crystal.

Formation energy (no corrections): -993 meV per atom
Total energy: -6.105 eV/atom
Size of the total moment: 0.00 μB per formula unit

Cell lengths 3.957, 7.168, 7.609 Å; angles 106.91, 90.00, 90.00 degrees
Element x y z (fractional)
Pr  0.500  0.217  0.193
Pr  0.500  0.783  0.807
Pr  0.000  0.242  0.799
Pr  0.000  0.758  0.201
Ir  0.500  0.500  0.000
C  0.000  0.000  0.000
Cl  0.500  0.000  0.500
Cl  0.000  0.500  0.500

---

22.
## Rb2IrCCl6 (PBE-GGA)

Data for a relaxed Rb2IrCCl6 crystal.

Formation energy (no corrections): -409 meV per atom
Total energy: -3.519 eV/atom
Size of the total moment: 1.00 μB per formula unit

Cell lengths 7.686, 7.686, 7.086 Å; angles 57.16, 57.16, 90.00 degrees
Last column: magnetic moment on the atom in μB.
Element x y z (fractional)
C  0.500  0.500  0.000  0.56
Ir  0.000  0.000  0.000  -0.05
Rb  0.750  0.250  0.500  0.00
Rb  0.250  0.750  0.500  0.00
Cl  0.268  0.268  0.464  -0.01
Cl  0.732  0.732  0.536  -0.01
Cl  0.219  0.219  0.000  0.00
Cl  0.781  0.781  0.000  0.00
Cl  0.781  0.219  0.000  0.00
Cl  0.219  0.781  0.000  0.00

---

23.
## IrCS2Cl (PBE-GGA)

Data for a relaxed IrCS2Cl crystal.

Formation energy (no corrections): 1707 meV per atom
Total energy: -3.931 eV/atom
Size of the total moment: 1.02 μB per formula unit

Cell lengths 4.581, 4.581, 4.925 Å; angles 90.00, 90.00, 90.00 degrees
Last column: magnetic moment on the atom in μB.
Element x y z (fractional)
S  0.000  0.500  0.000  -0.16
S  0.500  0.000  0.000  -0.16
Ir  0.000  0.000  0.000  -0.07
C  0.500  0.500  0.500  0.79
Cl  0.000  0.000  0.500  0.00

---

24.
## IrCS2Cl (PBE-GGA)

Data for a relaxed IrCS2Cl crystal.

Formation energy (no corrections): 1645 meV per atom
Total energy: -3.992 eV/atom
Size of the total moment: 0.00 μB per formula unit

Cell lengths 4.153, 4.153, 3.963 Å; angles 90.00, 90.00, 90.00 degrees
Element x y z (fractional)
S  0.000  0.500  0.000
S  0.500  0.000  0.000
Ir  0.500  0.500  0.500
C  0.000  0.000  0.000
Cl  0.000  0.000  0.500